The following is a GGA-PBEsol calculation of a relaxed AgAu5 crystal, from the Alexandria database.

Lattice parameters (Å, degrees): 2.8529 5.5720 6.8539 105.70 90.00 104.83
Closest atoms and distances in Å follow each position.
Positions (direct):
Au: 0.3892 0.7784 0.2767  10 Au 2.85-2.92, 2 Ag 2.89
Au: 0.6653 0.3306 0.3315  2 Ag 2.85, 10 Au 2.85-2.92
Au: 0.7228 0.4456 0.9454  9 Au 2.85-2.89, 3 Ag 2.90-2.91
Au: 0.0551 0.1102 0.6120  11 Au 2.85-2.92, 1 Ag 2.88
Au: 0.3337 0.6675 0.6681  10 Au 2.85-2.92, 2 Ag 2.85
Ag: 0.0006 0.0011 0.9996  10 Au 2.85-2.91, 2 Ag 2.85

Output
Its crystal system is monoclinic. The value obtained for the density of states at the Fermi level is 2.1 states/eV/cell.

***

The following is a GGA-PBEsol calculation of a relaxed BaLiMg2 crystal, from the Alexandria database.

Lattice parameters (Å, degrees): 5.1801 5.1801 6.1611 65.14 65.14 60.00
Closest atoms and distances in Å follow each position.
Positions (direct):
Mg: 0.0064 0.0064 0.9809  3 Li 3.05, 3 Mg 3.10
Mg: 0.2881 0.2881 0.1357  3 Mg 3.10, 3 Li 3.31, 1 Ba 3.42
Li: 0.7088 0.7088 0.8736  6 Mg 3.05-3.31, 1 Ba 3.38
Ba: 0.4999 0.4999 0.5004  4 Li 3.38-3.60, 4 Mg 3.42-3.58

Output
Its crystal system is trigonal. The value obtained for the density of states at the Fermi level is 3.6 states/eV/cell.

***

The calculation returns the following energy relative to the elements values, one per record and in order: -0.017 0.004 eV per atom.
The calculation returns the following calculated density values, one per record and in order: 17.95 2.56 g/cm3.
The calculation returns the following raw total energy values, one per record and in order: -3.839 -1.883 eV per atom.